# 1
! HfZnNF2 (GGA-PBE, optimized geometry); values from VASP
! SG: P4/mmm (123)
! Calculated volume (A^3/atom): 14.66
! Relative energy among the computed polymorphs (eV per atom): 0.000
! E_form (uncorrected) (eV per atom): -1.69
&SYSTEM
  ibrav = 0, nat = 5, ntyp = 4
/
ATOMIC_SPECIES
Hf 178.49 Hf.upf
Zn 65.41 Zn.upf
N 14.01 N.upf
F 19.00 F.upf
ATOMIC_POSITIONS angstrom
Hf 0.000 0.000 0.000
Zn 2.080 2.080 2.118
N 0.000 0.000 2.118
F 0.000 2.080 0.000
F 2.080 0.000 0.000
CELL_PARAMETERS angstrom
4.160 0.000 0.000
0.000 4.160 0.000
0.000 0.000 4.236

# 2
! MgInSnPd (GGA-PBE, optimized geometry); values from VASP
! SG: F-43m (216)
! Calculated volume (A^3/atom): 20.79
! ΔE_f (eV per atom): -0.209
! Relative energy among the computed polymorphs (eV per atom): 0.135
&SYSTEM
  ibrav = 0, nat = 4, ntyp = 4
/
ATOMIC_SPECIES
Mg 24.30 Mg.upf
In 114.82 In.upf
Sn 118.71 Sn.upf
Pd 106.42 Pd.upf
ATOMIC_POSITIONS angstrom
Mg 0.000 0.000 0.000
In 5.196 5.196 5.196
Sn 1.732 1.732 1.732
Pd 3.464 3.464 3.464
CELL_PARAMETERS angstrom
0.000 3.464 3.464
3.464 0.000 3.464
3.464 3.464 0.000

# 3
! Dy3Y8Ho4 (GGA-PBE, optimized geometry); values from VASP
! SG: R-3m (166)
! Calculated volume (A^3/atom): 32.60
! ΔE_f (eV per atom): 0.157
! Relative energy among the computed polymorphs (eV per atom): 0.000
&SYSTEM
  ibrav = 0, nat = 15, ntyp = 3
/
ATOMIC_SPECIES
Dy 162.50 Dy.upf
Y 88.91 Y.upf
Ho 164.93 Ho.upf
ATOMIC_POSITIONS angstrom
Dy -1.735 -1.002 11.721
Dy -1.735 1.002 23.441
Dy 0.000 2.004 11.721
Y 0.000 -1.997 14.652
Y -1.729 0.998 14.652
Y -1.729 -0.998 20.510
Y 0.000 0.000 8.956
Y 0.000 0.000 26.205
Y 1.729 0.998 14.652
Y 1.729 -0.998 20.510
Y 0.000 1.997 20.510
Ho 0.000 0.000 0.000
Ho 0.000 0.000 5.766
Ho 0.000 0.000 17.581
Ho 0.000 0.000 29.396
CELL_PARAMETERS angstrom
3.470 2.004 11.721
-3.470 2.004 11.721
0.000 -4.007 11.721